(1)
! PBE Nd12ZnIn6, relaxed; values from VASP
&SYSTEM
  ibrav = 0, nat = 19, ntyp = 3
/
ATOMIC_SPECIES
Nd 144.24 Nd.upf
Zn 65.41 Zn.upf
In 114.82 In.upf
ATOMIC_POSITIONS crystal
Nd 0.811 0.525 0.433
Nd 0.433 0.811 0.525
Nd 0.525 0.433 0.811
Nd 0.189 0.475 0.567
Nd 0.567 0.189 0.475
Nd 0.475 0.567 0.189
Nd 0.062 0.122 0.373
Nd 0.878 0.627 0.938
Nd 0.627 0.938 0.878
Nd 0.938 0.878 0.627
Nd 0.122 0.373 0.062
Nd 0.373 0.062 0.122
Zn 0.000 0.000 0.000
In 0.739 0.883 0.255
In 0.745 0.261 0.117
In 0.117 0.745 0.261
In 0.261 0.117 0.745
In 0.255 0.739 0.883
In 0.883 0.255 0.739
CELL_PARAMETERS angstrom
-4.953 -5.655 3.498
6.447 -5.085 1.152
1.378 3.276 7.491
! DFT total energy = -79.59 eV/cell
! space group = R-3, No. 148
! formation energy = -0.246 eV per atom


(2)
! PBE Ti2TlIn2, relaxed; values from VASP
&SYSTEM
  ibrav = 0, nat = 10, ntyp = 3
/
ATOMIC_SPECIES
Tl 204.38 Tl.upf
Ti 47.87 Ti.upf
In 114.82 In.upf
ATOMIC_POSITIONS crystal
Tl 0.000 0.000 0.000
Tl 0.500 0.500 0.000
Ti 0.111 0.611 0.500
Ti 0.611 0.889 0.500
Ti 0.889 0.389 0.500
Ti 0.389 0.111 0.500
In 0.319 0.819 0.000
In 0.819 0.681 0.000
In 0.681 0.181 0.000
In 0.181 0.319 0.000
CELL_PARAMETERS angstrom
8.644 0.000 0.000
0.000 8.644 0.000
0.000 0.000 3.043
! DFT total energy = -46.02 eV/cell
! space group = P4/mbm, No. 127
! formation energy = 0.125 eV per atom


(3)
! PBE ScCoTc2, relaxed; values from VASP
&SYSTEM
  ibrav = 0, nat = 4, ntyp = 3
/
ATOMIC_SPECIES
Co 58.93 Co.upf
Sc 44.96 Sc.upf
Tc 98.00 Tc.upf
ATOMIC_POSITIONS crystal
Co 0.500 0.000 0.500
Sc 0.000 0.500 0.500
Tc 0.000 0.000 0.000
Tc 0.500 0.500 0.000
CELL_PARAMETERS angstrom
-0.375 1.808 3.877
-4.242 -0.656 -0.105
0.408 -2.855 1.371
! DFT total energy = -33.61 eV/cell
! space group = P4/mmm, No. 123
! formation energy = 0.139 eV per atom


(4)
! PBE Ca6Tl3Pb, relaxed; values from VASP
&SYSTEM
  ibrav = 0, nat = 20, ntyp = 3
/
ATOMIC_SPECIES
Ca 40.08 Ca.upf
Tl 204.38 Tl.upf
Pb 207.20 Pb.upf
ATOMIC_POSITIONS crystal
Ca 0.250 0.471 0.092
Ca 0.750 0.529 0.908
Ca 0.250 0.141 0.188
Ca 0.750 0.859 0.812
Ca 0.250 0.641 0.674
Ca 0.750 0.359 0.326
Ca 0.250 0.242 0.504
Ca 0.750 0.758 0.496
Ca 0.250 0.840 0.323
Ca 0.750 0.160 0.677
Ca 0.250 0.104 0.896
Ca 0.750 0.896 0.104
Tl 0.250 0.523 0.379
Tl 0.750 0.477 0.621
Tl 0.250 0.374 0.788
Tl 0.750 0.626 0.212
Tl 0.250 0.771 0.966
Tl 0.750 0.229 0.034
Pb 0.250 0.952 0.626
Pb 0.750 0.048 0.374
CELL_PARAMETERS angstrom
5.488 0.000 0.000
0.000 9.205 -2.889
0.000 0.264 12.177
! DFT total energy = -53.81 eV/cell
! space group = P2_1/m, No. 11
! formation energy = -0.409 eV per atom


(5)
! PBE Tb4Ga2Sn5, relaxed; values from VASP
&SYSTEM
  ibrav = 0, nat = 11, ntyp = 3
/
ATOMIC_SPECIES
Tb 158.93 Tb.upf
Ga 69.72 Ga.upf
Sn 118.71 Sn.upf
ATOMIC_POSITIONS crystal
Tb 0.500 0.235 0.597
Tb 0.500 0.780 0.862
Tb 0.500 0.765 0.403
Tb 0.500 0.220 0.138
Ga 0.000 0.914 0.623
Ga 0.000 0.086 0.377
Sn 0.000 0.452 0.339
Sn 0.000 0.873 0.133
Sn 0.000 0.500 0.000
Sn 0.000 0.127 0.867
Sn 0.000 0.548 0.661
CELL_PARAMETERS angstrom
-3.327 2.661 -0.341
-4.650 -5.764 0.400
-0.427 0.600 8.842
! DFT total energy = -51.39 eV/cell
! space group = P2/m, No. 10
! formation energy = -0.618 eV per atom


(6)
! PBE BeCrRu2, relaxed; values from VASP
&SYSTEM
  ibrav = 0, nat = 4, ntyp = 3
/
ATOMIC_SPECIES
Ru 101.07 Ru.upf
Be 9.01 Be.upf
Cr 52.00 Cr.upf
ATOMIC_POSITIONS crystal
Ru 0.000 0.000 0.014
Ru 0.000 0.000 0.486
Be 0.500 0.500 0.250
Cr 0.500 0.500 0.750
CELL_PARAMETERS angstrom
2.612 -0.012 0.000
-1.096 2.371 0.000
0.000 0.000 8.004
! DFT total energy = -31.28 eV/cell
! space group = Cmmm, No. 65
! formation energy = 0.154 eV per atom


(7)
! PBE Pa7NiN12, relaxed; values from VASP
&SYSTEM
  ibrav = 0, nat = 20, ntyp = 3
/
ATOMIC_SPECIES
Pa 231.04 Pa.upf
Ni 58.69 Ni.upf
N 14.01 N.upf
ATOMIC_POSITIONS crystal
Pa 0.209 0.832 0.305
Pa 0.096 0.305 0.474
Pa 0.623 0.526 0.832
Pa 0.500 0.000 0.000
Pa 0.377 0.474 0.168
Pa 0.904 0.695 0.526
Pa 0.791 0.168 0.695
Ni 0.000 0.000 0.000
N 0.079 0.395 0.148
N 0.069 0.148 0.753
N 0.424 0.604 0.864
N 0.440 0.864 0.260
N 0.316 0.247 0.395
N 0.180 0.740 0.604
N 0.820 0.260 0.396
N 0.684 0.753 0.605
N 0.560 0.136 0.740
N 0.576 0.396 0.136
N 0.931 0.852 0.247
N 0.921 0.605 0.852
CELL_PARAMETERS angstrom
9.367 0.000 -1.928
-3.715 5.091 -2.237
-1.937 0.000 6.401
! formation energy (no corrections) = -1.5931 eV/atom
! DFT total energy = -204.02 eV/cell
! space group = R-3, No. 148


(8)
! PBE DyAgPb3, relaxed; values from VASP
&SYSTEM
  ibrav = 0, nat = 5, ntyp = 3
/
ATOMIC_SPECIES
Dy 162.50 Dy.upf
Ag 107.87 Ag.upf
Pb 207.20 Pb.upf
ATOMIC_POSITIONS crystal
Dy 0.082 0.114 0.232
Ag 0.290 0.750 0.017
Pb 0.504 0.365 0.822
Pb 0.710 0.939 0.666
Pb 0.869 0.556 0.367
CELL_PARAMETERS angstrom
3.724 -0.559 -0.531
-0.974 6.110 0.361
-0.998 0.411 6.292
! DFT total energy = -19.19 eV/cell
! space group = P1, No. 1
! formation energy = -0.123 eV per atom


(9)
! PBE K2SiHg, relaxed; values from VASP
&SYSTEM
  ibrav = 0, nat = 8, ntyp = 3
/
ATOMIC_SPECIES
K 39.10 K.upf
Si 28.09 Si.upf
Hg 200.59 Hg.upf
ATOMIC_POSITIONS crystal
K 0.410 0.125 0.250
K 0.340 0.625 0.250
K 0.375 0.590 0.750
K 0.875 0.660 0.750
Si 0.500 0.500 0.000
Si 0.250 0.750 0.500
Hg 0.000 0.000 0.000
Hg 0.750 0.250 0.500
CELL_PARAMETERS angstrom
12.924 0.000 0.000
0.000 12.924 0.000
6.462 6.462 2.501
! formation energy (no corrections) = 0.1189 eV/atom
! DFT total energy = -14.89 eV/cell
! space group = I-42d, No. 122


(10)
! PBE SmCoGe3Rh, relaxed; values from VASP
&SYSTEM
  ibrav = 0, nat = 12, ntyp = 4
/
ATOMIC_SPECIES
Sm 150.36 Sm.upf
Co 58.93 Co.upf
Ge 72.64 Ge.upf
Rh 102.91 Rh.upf
ATOMIC_POSITIONS crystal
Sm 0.750 0.187 0.374
Sm 0.250 0.813 0.626
Co 0.250 0.407 0.813
Co 0.750 0.593 0.187
Ge 0.250 0.244 0.488
Ge 0.000 0.285 0.000
Ge 0.500 0.715 0.000
Ge 0.500 0.285 0.000
Ge 0.000 0.715 0.000
Ge 0.750 0.756 0.512
Rh 0.250 0.069 0.139
Rh 0.750 0.931 0.861
CELL_PARAMETERS angstrom
5.810 0.000 0.000
0.000 6.264 0.000
0.000 -3.132 6.703
! DFT total energy = -70.40 eV/cell
! space group = Cmcm, No. 63
! formation energy = -0.362 eV per atom


(11)
! PBE Ga3PdPt, relaxed; values from VASP
&SYSTEM
  ibrav = 0, nat = 20, ntyp = 3
/
ATOMIC_SPECIES
Ga 69.72 Ga.upf
Pd 106.42 Pd.upf
Pt 195.08 Pt.upf
ATOMIC_POSITIONS crystal
Ga 0.146 0.931 0.364
Ga 0.854 0.069 0.636
Ga 0.646 0.069 0.136
Ga 0.354 0.931 0.864
Ga 0.611 0.685 0.449
Ga 0.389 0.315 0.551
Ga 0.111 0.315 0.051
Ga 0.889 0.685 0.949
Ga 0.064 0.643 0.624
Ga 0.936 0.357 0.376
Ga 0.564 0.357 0.876
Ga 0.436 0.643 0.124
Pd 0.905 0.619 0.220
Pd 0.095 0.381 0.780
Pd 0.405 0.381 0.280
Pd 0.595 0.619 0.720
Pt 0.335 0.947 0.607
Pt 0.665 0.053 0.393
Pt 0.835 0.053 0.893
Pt 0.165 0.947 0.107
CELL_PARAMETERS angstrom
5.013 0.000 0.000
0.000 6.878 -0.245
0.000 -1.427 9.754
! DFT total energy = -91.45 eV/cell
! space group = P2_1/c, No. 14
! formation energy = -0.510 eV per atom


(12)
! PBE Na5B7C3, relaxed; values from VASP
&SYSTEM
  ibrav = 0, nat = 30, ntyp = 3
/
ATOMIC_SPECIES
Na 22.99 Na.upf
B 10.81 B.upf
C 12.01 C.upf
ATOMIC_POSITIONS crystal
Na 0.200 0.800 0.999
Na 0.200 0.800 0.501
Na 0.400 0.600 0.003
Na 0.400 0.600 0.497
Na 0.000 0.000 0.001
Na 0.000 0.000 0.499
Na 0.600 0.400 0.000
Na 0.600 0.400 0.500
Na 0.800 0.200 0.997
Na 0.800 0.200 0.503
B 0.269 0.731 0.750
B 0.730 0.270 0.750
B 0.267 0.733 0.250
B 0.931 0.069 0.250
B 0.933 0.067 0.750
B 0.470 0.530 0.250
B 0.067 0.933 0.750
B 0.527 0.473 0.750
B 0.064 0.936 0.250
B 0.133 0.867 0.250
B 0.136 0.864 0.750
B 0.673 0.327 0.250
B 0.339 0.661 0.750
B 0.861 0.139 0.250
C 0.736 0.264 0.250
C 0.464 0.536 0.750
C 0.533 0.467 0.250
C 0.667 0.333 0.750
C 0.331 0.669 0.250
C 0.869 0.131 0.750
CELL_PARAMETERS angstrom
-0.489 1.157 12.832
-2.334 -1.415 -12.602
0.838 -8.461 0.795
! DFT total energy = -158.31 eV/cell
! space group = Cmcm, No. 63
! formation energy = 0.124 eV per atom


(13)
! PBE Al2V3, relaxed; values from VASP
&SYSTEM
  ibrav = 0, nat = 10, ntyp = 2
/
ATOMIC_SPECIES
Al 26.98 Al.upf
V 50.94 V.upf
ATOMIC_POSITIONS crystal
Al 0.646 0.608 0.352
Al 0.038 0.392 0.148
Al 0.962 0.608 0.852
Al 0.354 0.392 0.648
V 0.140 0.000 0.250
V 0.860 0.000 0.750
V 0.260 0.801 0.545
V 0.460 0.199 0.955
V 0.540 0.801 0.045
V 0.740 0.199 0.455
CELL_PARAMETERS angstrom
4.949 0.000 0.000
-2.475 4.312 -1.672
0.000 -0.003 6.655
! DFT total energy = -71.21 eV/cell
! space group = C2/c, No. 15
! formation energy = -0.153 eV per atom


(14)
! PBE SrDyGa, relaxed; values from VASP
&SYSTEM
  ibrav = 0, nat = 6, ntyp = 3
/
ATOMIC_SPECIES
Ga 69.72 Ga.upf
Dy 162.50 Dy.upf
Sr 87.62 Sr.upf
ATOMIC_POSITIONS crystal
Ga 0.694 0.389 0.000
Ga 0.195 0.389 0.500
Dy 0.695 0.389 0.378
Dy 0.695 0.389 0.622
Sr 0.194 0.389 0.850
Sr 0.194 0.389 0.150
CELL_PARAMETERS angstrom
-0.872 1.087 5.074
-1.316 -2.497 -2.420
9.861 -8.627 3.542
! DFT total energy = -20.05 eV/cell
! space group = Cmmm, No. 65
! formation energy = -0.239 eV per atom


(15)
! PBE Pu2AsSe6, relaxed; values from VASP
&SYSTEM
  ibrav = 0, nat = 18, ntyp = 3
/
ATOMIC_SPECIES
Pu 244.00 Pu.upf
As 74.92 As.upf
Se 78.96 Se.upf
ATOMIC_POSITIONS crystal
Pu 0.000 0.000 0.333
Pu 0.500 0.500 0.833
Pu 0.500 0.500 0.167
Pu 0.000 0.000 0.667
As 0.000 0.000 0.000
As 0.500 0.500 0.500
Se 0.307 0.307 0.338
Se 0.693 0.693 0.338
Se 0.193 0.807 0.838
Se 0.807 0.193 0.838
Se 0.193 0.807 0.162
Se 0.807 0.193 0.162
Se 0.307 0.307 0.662
Se 0.693 0.693 0.662
Se 0.299 0.299 0.000
Se 0.701 0.701 0.000
Se 0.201 0.799 0.500
Se 0.799 0.201 0.500
CELL_PARAMETERS angstrom
-5.100 1.160 3.758
-3.932 -1.677 -4.818
0.216 -11.904 3.966
! formation energy (no corrections) = -0.6787 eV/atom
! DFT total energy = -120.66 eV/cell
! space group = P4_2/mnm, No. 136


(16)
! PBE RbPtO, relaxed; values from VASP
&SYSTEM
  ibrav = 0, nat = 6, ntyp = 3
/
ATOMIC_SPECIES
Pt 195.08 Pt.upf
Rb 85.47 Rb.upf
O 16.00 O.upf
ATOMIC_POSITIONS crystal
Pt 0.500 0.000 0.739
Pt 0.500 0.000 0.261
Rb 0.819 0.363 0.189
Rb 0.181 0.637 0.811
O 0.643 0.714 0.866
O 0.357 0.286 0.134
CELL_PARAMETERS angstrom
5.628 1.133 -0.414
1.564 5.994 -2.419
0.378 -0.059 5.029
! formation energy (no corrections) = -0.5438 eV/atom
! DFT total energy = -27.20 eV/cell
! space group = C2/m, No. 12


(17)
! PBE ScMnSe2, relaxed; values from VASP
&SYSTEM
  ibrav = 0, nat = 8, ntyp = 3
/
ATOMIC_SPECIES
Sc 44.96 Sc.upf
Mn 54.94 Mn.upf
Se 78.96 Se.upf
ATOMIC_POSITIONS crystal
Sc 0.500 0.500 0.000
Sc 0.250 0.750 0.500
Mn 0.000 0.000 0.000
Mn 0.750 0.250 0.500
Se 0.672 0.125 0.250
Se 0.078 0.625 0.250
Se 0.375 0.328 0.750
Se 0.875 0.922 0.750
CELL_PARAMETERS angstrom
-4.069 -3.156 1.899
-0.440 -2.393 -4.920
1.779 -6.965 0.167
! formation energy (no corrections) = -0.5168 eV/atom
! DFT total energy = -49.07 eV/cell
! space group = I-42d, No. 122


(18)
! PBE CsScRu3, relaxed; values from VASP
&SYSTEM
  ibrav = 0, nat = 5, ntyp = 3
/
ATOMIC_SPECIES
Cs 132.91 Cs.upf
Ru 101.07 Ru.upf
Sc 44.96 Sc.upf
ATOMIC_POSITIONS crystal
Cs 0.500 0.500 0.500
Ru 0.000 0.500 0.000
Ru 0.000 0.000 0.500
Ru 0.500 0.000 0.000
Sc 0.000 0.000 0.000
CELL_PARAMETERS angstrom
-3.312 -0.997 -3.574
2.467 -4.170 -1.122
-2.772 -2.520 3.271
! DFT total energy = -26.91 eV/cell
! space group = Pm-3m, No. 221
! formation energy = 1.621 eV per atom


(19)
! PBE CsNbTl2O6, relaxed; values from VASP
&SYSTEM
  ibrav = 0, nat = 20, ntyp = 4
/
ATOMIC_SPECIES
Cs 132.91 Cs.upf
Nb 92.91 Nb.upf
Tl 204.38 Tl.upf
O 16.00 O.upf
ATOMIC_POSITIONS crystal
Cs 0.250 0.891 0.109
Cs 0.750 0.109 0.891
Nb 0.250 0.197 0.803
Nb 0.750 0.803 0.197
Tl 0.349 0.702 0.548
Tl 0.151 0.452 0.298
Tl 0.651 0.298 0.452
Tl 0.849 0.548 0.702
O 0.222 0.970 0.757
O 0.278 0.243 0.030
O 0.778 0.030 0.243
O 0.722 0.757 0.970
O 0.509 0.811 0.352
O 0.991 0.648 0.189
O 0.491 0.189 0.648
O 0.009 0.352 0.811
O 0.040 0.678 0.562
O 0.460 0.438 0.322
O 0.960 0.322 0.438
O 0.540 0.562 0.678
CELL_PARAMETERS angstrom
-6.095 -1.936 3.353
-2.804 -6.523 -4.312
2.490 -3.055 7.313
! formation energy (no corrections) = -1.4623 eV/atom
! DFT total energy = -120.06 eV/cell
! space group = C2/c, No. 15


(20)
! PBE Rb4NaBr5, relaxed; values from VASP
&SYSTEM
  ibrav = 0, nat = 10, ntyp = 3
/
ATOMIC_SPECIES
Rb 85.47 Rb.upf
Na 22.99 Na.upf
Br 79.90 Br.upf
ATOMIC_POSITIONS crystal
Rb 0.895 0.895 0.315
Rb 0.298 0.298 0.106
Rb 0.702 0.702 0.894
Rb 0.105 0.105 0.685
Na 0.500 0.500 0.500
Br 0.404 0.404 0.788
Br 0.000 0.000 0.000
Br 0.596 0.596 0.212
Br 0.807 0.807 0.578
Br 0.193 0.193 0.422
CELL_PARAMETERS angstrom
4.769 0.000 0.585
2.348 4.150 0.585
-0.033 -0.019 20.011
! formation energy (no corrections) = -1.6932 eV/atom
! DFT total energy = -30.49 eV/cell
! space group = R-3m, No. 166